## B2WO (SCAN)

Data for B2WO at its PBEsol-relaxed geometry.

```
B2WO
1.0
-2.453 2.453 3.056
2.453 -2.453 3.056
2.453 2.453 -3.056
B W O
4 2 2
Direct
0.018 0.125 0.393
0.375 0.982 0.107
0.732 0.625 0.607
0.875 0.268 0.893
0.250 0.750 0.500
0.500 0.500 0.000
0.000 0.000 0.000
0.750 0.250 0.500
```

Results
calculated volume = 9.20 Å³/atom
total DFT energy (no corrections) = -22.45 eV per atom
magnetic moment = 0.000 μB/cell
E_form (uncorrected) = 0.24 eV/atom